This record from Alexandria via LeMat-Bulk describes a relaxed structure of CaYPt10. The functional is GGA-PBE.

crystal system = orthorhombic
raw total energy = -76.30 eV/cell

Unit cell a=4.4401 b=5.3936 c=9.2805 alpha=90.00 beta=90.00 gamma=90.00
Sites, in units of the cell vectors:
Ca 0.0000 0.0000 0.0000
Y 0.0000 0.5000 0.5000
Pt 0.0000 0.0000 0.3351
Pt 0.0000 0.0000 0.6649
Pt 0.0000 0.5000 0.1684
Pt 0.0000 0.5000 0.8316
Pt 0.5000 0.0000 0.5000
Pt 0.5000 0.2516 0.2525
Pt 0.5000 0.2516 0.7475
Pt 0.5000 0.5000 0.0000
Pt 0.5000 0.7484 0.2525
Pt 0.5000 0.7484 0.7475


This record from Alexandria via LeMat-Bulk describes a relaxed structure of DyNi2Ag. The functional is GGA-PBE.

crystal system = cubic
ΔE to the lowest computed polymorph = 14 kJ/mol of formula units
raw total energy = -19.61 eV/cell

Unit cell a=4.5306 b=4.5306 c=4.5306 alpha=60.00 beta=60.00 gamma=60.00
Sites, in units of the cell vectors:
Dy 0.0000 0.0000 0.0000
Ni 0.2500 0.2500 0.2500
Ni 0.7500 0.7500 0.7500
Ag 0.5000 0.5000 0.5000


This record from Alexandria via LeMat-Bulk describes a relaxed structure of CsBeTe3. The functional is GGA-PBE.

crystal system = cubic
energy relative to the elements, uncorrected = -0.077 eV per atom
raw total energy = -14.39 eV/cell

Unit cell a=5.3511 b=5.3511 c=5.3511 alpha=90.00 beta=90.00 gamma=90.00
Sites, in units of the cell vectors:
Cs 0.0000 0.0000 0.0000
Be 0.5000 0.5000 0.5000
Te 0.0000 0.5000 0.5000
Te 0.5000 0.0000 0.5000
Te 0.5000 0.5000 0.0000


This record from Alexandria via LeMat-Bulk describes a relaxed structure of La12V3N5. The functional is GGA-PBE.

crystal system = cubic
energy relative to the elements, uncorrected = -0.390 eV per atom
raw total energy = -543.68 eV/cell

Unit cell a=14.1564 b=14.1564 c=14.1564 alpha=109.47 beta=109.47 gamma=109.47
Sites, in units of the cell vectors:
La 0.0153 0.1996 0.1128
La 0.0153 0.3157 0.9025
La 0.0868 0.6996 0.6843
La 0.0868 0.8872 0.4025
La 0.0975 0.6128 0.4132
La 0.0975 0.9847 0.6843
La 0.1128 0.0153 0.1996
La 0.1128 0.5975 0.9132
La 0.1843 0.1996 0.5868
La 0.1843 0.4847 0.5975
La 0.1996 0.1128 0.0153
La 0.1996 0.5868 0.1843
La 0.3004 0.3157 0.9132
La 0.3004 0.4847 0.3872
La 0.3157 0.9025 0.0153
La 0.3157 0.9132 0.3004
La 0.3872 0.3004 0.4847
La 0.3872 0.5868 0.9025
La 0.4025 0.0868 0.8872
La 0.4025 0.8157 0.5153
La 0.4132 0.0975 0.6128
La 0.4132 0.8157 0.8004
La 0.4847 0.3872 0.3004
La 0.4847 0.5975 0.1843
La 0.5153 0.4025 0.8157
La 0.5153 0.6128 0.6996
La 0.5868 0.1843 0.1996
La 0.5868 0.9025 0.3872
La 0.5975 0.1843 0.4847
La 0.5975 0.9132 0.1128
La 0.6128 0.4132 0.0975
La 0.6128 0.6996 0.5153
La 0.6843 0.0868 0.6996
La 0.6843 0.0975 0.9847
La 0.6996 0.5153 0.6128
La 0.6996 0.6843 0.0868
La 0.8004 0.4132 0.8157
La 0.8004 0.8872 0.9847
La 0.8157 0.5153 0.4025
La 0.8157 0.8004 0.4132
La 0.8872 0.4025 0.0868
La 0.8872 0.9847 0.8004
La 0.9025 0.0153 0.3157
La 0.9025 0.3872 0.5868
La 0.9132 0.1128 0.5975
La 0.9132 0.3004 0.3157
La 0.9847 0.6843 0.0975
La 0.9847 0.8004 0.8872
V 0.1250 0.2500 0.3750
V 0.1250 0.3750 0.7500
V 0.2500 0.3750 0.1250
V 0.2500 0.8750 0.6250
V 0.3750 0.1250 0.2500
V 0.3750 0.7500 0.1250
V 0.6250 0.2500 0.8750
V 0.6250 0.8750 0.7500
V 0.7500 0.1250 0.3750
V 0.7500 0.6250 0.8750
V 0.8750 0.6250 0.2500
V 0.8750 0.7500 0.6250
N 0.0000 0.0000 0.0000
N 0.0000 0.0000 0.5000
N 0.0000 0.5000 0.0000
N 0.0000 0.5000 0.5000
N 0.1250 0.7500 0.8750
N 0.1250 0.8750 0.2500
N 0.2500 0.1250 0.8750
N 0.2500 0.6250 0.3750
N 0.3750 0.2500 0.6250
N 0.3750 0.6250 0.7500
N 0.5000 0.0000 0.0000
N 0.5000 0.0000 0.5000
N 0.5000 0.5000 0.0000
N 0.5000 0.5000 0.5000
N 0.6250 0.3750 0.2500
N 0.6250 0.7500 0.3750
N 0.7500 0.3750 0.6250
N 0.7500 0.8750 0.1250
N 0.8750 0.1250 0.7500
N 0.8750 0.2500 0.1250


This record from Alexandria via LeMat-Bulk describes a relaxed structure of BP2C3. The functional is GGA-PBE.

crystal system = triclinic
ΔE to the lowest computed polymorph = 189 kJ/mol of formula units
raw total energy = -41.36 eV/cell

Unit cell a=3.7564 b=4.0821 c=4.4072 alpha=98.16 beta=115.02 gamma=96.11
Sites, in units of the cell vectors:
B 0.0000 0.0000 0.0000
P 0.4042 0.3299 0.4008
P 0.7516 0.7710 0.2984
C 0.2646 0.7544 0.9391
C 0.2765 0.7061 0.6081
C 0.6222 0.9915 0.6341


This record from Alexandria via LeMat-Bulk describes a relaxed structure of Er2HCl. The functional is GGA-PBE.

crystal system = trigonal
raw total energy = -17.53 eV/cell

Unit cell a=7.2648 b=7.2648 c=7.2648 alpha=28.15 beta=28.15 gamma=28.15
Sites, in units of the cell vectors:
Er 0.2289 0.2289 0.2289
Er 0.7711 0.7711 0.7711
H 0.5000 0.5000 0.5000
Cl 0.0000 0.0000 0.0000


This record from Alexandria via LeMat-Bulk describes a relaxed structure of YNiMo2. The functional is GGA-PBE.

crystal system = tetragonal
ΔE to the lowest computed polymorph = 148 kJ/mol of formula units
raw total energy = -63.81 eV/cell

Unit cell a=10.8571 b=10.8571 c=10.8571 alpha=160.25 beta=160.25 gamma=28.07
Sites, in units of the cell vectors:
Y 0.0000 0.0000 0.0000
Y 0.7500 0.2500 0.5000
Ni 0.2500 0.7500 0.5000
Ni 0.5000 0.5000 0.0000
Mo 0.1333 0.6250 0.0083
Mo 0.3750 0.3833 0.5083
Mo 0.6167 0.1250 0.9917
Mo 0.8750 0.8667 0.4917


This record from Alexandria via LeMat-Bulk describes a relaxed structure of InReOs3. The functional is GGA-PBE.

crystal system = cubic
ΔE to the lowest computed polymorph = 645 kJ/mol of formula units
raw total energy = -32.06 eV/cell

Unit cell a=4.6771 b=4.6771 c=4.6771 alpha=90.00 beta=90.00 gamma=90.00
Sites, in units of the cell vectors:
In 0.0000 0.0000 0.0000
Re 0.5000 0.5000 0.5000
Os 0.0000 0.0000 0.5000
Os 0.0000 0.5000 0.0000
Os 0.5000 0.0000 0.0000


This record from Alexandria via LeMat-Bulk describes a relaxed structure of KCdIr2. The functional is GGA-PBE.

crystal system = tetragonal
raw total energy = -17.04 eV/cell

Unit cell a=2.8216 b=2.8216 c=9.6240 alpha=90.00 beta=90.00 gamma=90.00
Sites, in units of the cell vectors:
K 0.0000 0.0000 0.0000
Cd 0.0000 0.0000 0.5000
Ir 0.5000 0.5000 0.2816
Ir 0.5000 0.5000 0.7184


This record from Alexandria via LeMat-Bulk describes a relaxed structure of Ce2PaNi9. The functional is GGA-PBE.

crystal system = trigonal
raw total energy = -78.17 eV/cell

Unit cell a=8.7583 b=8.7583 c=8.7583 alpha=32.56 beta=32.56 gamma=32.56
Sites, in units of the cell vectors:
Ce 0.1390 0.1390 0.1390
Ce 0.8610 0.8610 0.8610
Pa 0.0000 0.0000 0.0000
Ni 0.0818 0.5810 0.5810
Ni 0.3331 0.3331 0.3331
Ni 0.4190 0.4190 0.9182
Ni 0.4190 0.9182 0.4190
Ni 0.5000 0.5000 0.5000
Ni 0.5810 0.0818 0.5810
Ni 0.5810 0.5810 0.0818
Ni 0.6669 0.6669 0.6669
Ni 0.9182 0.4190 0.4190


Number 1: total magnetic moment 0.00 μB per atom. Number 2: total magnetic moment 0.00 μB per atom. Number 3: total magnetic moment 0.00 μB per atom. Number 4: total magnetic moment 0.52 μB per atom. Number 5: total magnetic moment 0.00 μB per atom. Number 6: total magnetic moment 0.00 μB per atom. Number 7: total magnetic moment 0.00 μB per atom. Number 8: total magnetic moment 0.00 μB per atom. Number 9: total magnetic moment 0.00 μB per atom. Number 10: total magnetic moment 0.00 μB per atom.